## K4MgW (PBE)

Data for K4MgW after structural relaxation.

Energy of formation: 1.290 eV per atom
Total energy: -0.1371 Ry per atom

Unit cell a=10.226 b=10.226 c=10.226 alpha=90.00 beta=90.00 gamma=90.00
Space group F-43m (No. 216)
One atom of each set of equivalent atoms:
K  0.124  0.124  0.376 [16 per cell]
Mg  0.000  0.000  0.000 [4 per cell]
W  0.250  0.250  0.750 [4 per cell]